Entry 1:
Computed, not measured: a relaxed DyPaOs2 crystal at the PBE level of DFT.

Its total energy is -0.68962 Ry per atom. The total magnetization comes out at 0.00 μB per formula unit.

a b c (Å): 5.7679 5.9039 10.8664
angles (deg): 90.00 109.75 90.00
Last column: nearest neighbours and their distance in Å.
Positions (direct):
1 Dy 0.1955 0.1413 0.1488  7 Os 2.95-3.28
2 Dy 0.1955 0.8587 0.6488  7 Os 2.95-3.28
3 Dy 0.8045 0.1413 0.3512  7 Os 2.95-3.28
4 Dy 0.8045 0.8587 0.8512  7 Os 2.95-3.28
5 Pa 0.3136 0.3544 0.8549  3 Os 2.59-2.84
6 Pa 0.3136 0.6456 0.3549  3 Os 2.59-2.84
7 Pa 0.6864 0.3544 0.6451  3 Os 2.59-2.84
8 Pa 0.6864 0.6456 0.1451  3 Os 2.59-2.84
9 Os 0.1430 0.3659 0.6003  2 Pa 2.61-2.84, 2 Os 2.71-2.75
10 Os 0.1430 0.6341 0.1003  2 Pa 2.61-2.84, 2 Os 2.71-2.75
11 Os 0.3623 0.1697 0.4432  1 Pa 2.59, 2 Os 2.60-2.71
12 Os 0.3623 0.8303 0.9432  1 Pa 2.59, 2 Os 2.60-2.71
13 Os 0.6377 0.1697 0.0568  1 Pa 2.59, 2 Os 2.60-2.71
14 Os 0.6377 0.8303 0.5568  1 Pa 2.59, 2 Os 2.60-2.71
15 Os 0.8570 0.3659 0.8997  2 Pa 2.61-2.84, 2 Os 2.71-2.75
16 Os 0.8570 0.6341 0.3997  2 Pa 2.61-2.84, 2 Os 2.71-2.75

***

Entry 2:
Computed, not measured: a relaxed AcDy7Ho12 crystal at the PBE level of DFT.

Its total energy is -0.31776 Ry per atom. The total magnetization comes out at 0.00 μB per formula unit.

a b c (Å): 8.7043 8.7043 8.7043
angles (deg): 87.09 87.09 87.09
Last column: nearest neighbours and their distance in Å.
Positions (direct):
1 Ac 0.0000 0.0000 0.0000  6 Ho 3.55, 6 Dy 3.83
2 Dy 0.0641 0.3946 0.1558  3 Dy 3.40-3.54, 6 Ho 3.42-3.78
3 Dy 0.1558 0.0641 0.3946  3 Dy 3.40-3.54, 6 Ho 3.42-3.78
4 Dy 0.3946 0.1558 0.0641  3 Dy 3.40-3.54, 6 Ho 3.42-3.78
5 Dy 0.5000 0.5000 0.5000  6 Ho 3.31
6 Dy 0.6054 0.8442 0.9359  3 Dy 3.40-3.54, 6 Ho 3.42-3.78
7 Dy 0.8442 0.9359 0.6054  3 Dy 3.40-3.54, 6 Ho 3.42-3.78
8 Dy 0.9359 0.6054 0.8442  3 Dy 3.40-3.54, 6 Ho 3.42-3.78
9 Ho 0.1335 0.6224 0.4951  5 Ho 3.19-3.54, 2 Dy 3.31-3.42
10 Ho 0.1503 0.2773 0.7273  4 Ho 3.19-3.54, 2 Dy 3.50-3.52, 1 Ac 3.55
11 Ho 0.2727 0.8497 0.7227  4 Ho 3.19-3.54, 2 Dy 3.50-3.52, 1 Ac 3.55
12 Ho 0.2773 0.7273 0.1503  4 Ho 3.19-3.54, 2 Dy 3.50-3.52, 1 Ac 3.55
13 Ho 0.3776 0.5049 0.8665  5 Ho 3.19-3.54, 2 Dy 3.31-3.42
14 Ho 0.4951 0.1335 0.6224  5 Ho 3.19-3.54, 2 Dy 3.31-3.42
15 Ho 0.5049 0.8665 0.3776  5 Ho 3.19-3.54, 2 Dy 3.31-3.42
16 Ho 0.6224 0.4951 0.1335  5 Ho 3.19-3.54, 2 Dy 3.31-3.42
17 Ho 0.7227 0.2727 0.8497  4 Ho 3.19-3.54, 2 Dy 3.50-3.52, 1 Ac 3.55
18 Ho 0.7273 0.1503 0.2773  4 Ho 3.19-3.54, 2 Dy 3.50-3.52, 1 Ac 3.55
19 Ho 0.8497 0.7227 0.2727  4 Ho 3.19-3.54, 2 Dy 3.50-3.52, 1 Ac 3.55
20 Ho 0.8665 0.3776 0.5049  5 Ho 3.19-3.54, 2 Dy 3.31-3.42

***

Entry 3:
Computed, not measured: a relaxed RbPaNiN3 crystal at the PBE level of DFT.

The calculation puts the raw formation energy at -62.3 kJ per mole of atoms. The total magnetization comes out at 0.00 μB per formula unit.

a b c (Å): 8.0426 3.6008 8.2807
angles (deg): 90.00 106.91 90.00
Last column: nearest neighbours and their distance in Å.
Positions (direct):
1 Rb 0.1919 0.2500 0.2199  5 N 3.04-3.29, 2 Ni 3.37
2 Rb 0.8081 0.7500 0.7801  5 N 3.04-3.29, 2 Ni 3.37
3 Pa 0.3389 0.7500 0.8443  6 N 2.28-2.35
4 Pa 0.6611 0.2500 0.1557  6 N 2.28-2.35
5 Ni 0.0700 0.2500 0.6101  4 N 1.87-1.91
6 Ni 0.9300 0.7500 0.3899  4 N 1.87-1.91
7 N 0.1313 0.7500 0.5778  3 Ni 1.89-1.91
8 N 0.1636 0.2500 0.8454  1 Ni 1.87
9 N 0.4772 0.7500 0.1262  3 Pa 2.28-2.30
10 N 0.5228 0.2500 0.8738  3 Pa 2.28-2.30
11 N 0.8364 0.7500 0.1546  1 Ni 1.87
12 N 0.8687 0.2500 0.4222  3 Ni 1.89-1.91

***

Entry 4:
Computed, not measured: a relaxed RbCrGaTe3 crystal at the PBE level of DFT.

The calculation puts the raw formation energy at -43.4 kJ per mole of atoms. The total magnetization comes out at 2.77 μB per formula unit.

a b c (Å): 9.3788 3.9586 11.2833
angles (deg): 90.00 111.94 90.00
Last column: nearest neighbours and their distance in Å.
Positions (direct):
1 Rb 0.2304 0.2500 0.2794  7 Te 3.73-3.84, 1 Ga 3.79, 2 Rb 3.96
2 Rb 0.7696 0.7500 0.7206  7 Te 3.73-3.84, 1 Ga 3.79, 2 Rb 3.96
3 Cr 0.3600 0.7500 0.8437  6 Te 2.73-2.77
4 Cr 0.6400 0.2500 0.1563  6 Te 2.73-2.77
5 Ga 0.1108 0.2500 0.5652  3 Te 2.71-2.82, 2 Ga 2.85
6 Ga 0.8892 0.7500 0.4348  3 Te 2.71-2.82, 2 Ga 2.85
7 Te 0.1431 0.2500 0.8143  1 Ga 2.71, 2 Cr 2.77
8 Te 0.3352 0.7500 0.5917  1 Cr 2.77, 2 Ga 2.82
9 Te 0.4213 0.7500 0.0997  3 Cr 2.73-2.75
10 Te 0.5787 0.2500 0.9003  3 Cr 2.73-2.75
11 Te 0.6648 0.2500 0.4083  1 Cr 2.77, 2 Ga 2.82
12 Te 0.8569 0.7500 0.1857  1 Ga 2.71, 2 Cr 2.77

***

Entry 5:
Computed, not measured: a relaxed ZnIn2Re crystal at the PBE level of DFT.

Its total energy is -0.31866 Ry per atom. The total magnetization comes out at 0.00 μB per formula unit.

a b c (Å): 2.9385 2.9385 9.0550
angles (deg): 90.00 90.00 90.00
Last column: nearest neighbours and their distance in Å.
Positions (direct):
1 Zn 0.0000 0.0000 0.0000  4 Re 2.70, 4 Zn 2.94
2 In 0.0000 0.0000 0.5768  4 In 2.94, 4 Re 2.96
3 In 0.5000 0.5000 0.2596  4 In 2.94, 4 Zn 3.14
4 Re 0.5000 0.5000 0.8091  4 Zn 2.70, 4 Re 2.94, 4 In 2.96

***

Entry 6:
Computed, not measured: a relaxed La2NdN2 crystal at the PBE level of DFT.

The calculation puts the raw formation energy at -100.6 kJ per mole of atoms. The total magnetization comes out at 0.00 μB per formula unit.

a b c (Å): 6.4765 6.4765 6.4765
angles (deg): 147.31 130.85 60.29
Last column: nearest neighbours and their distance in Å.
Positions (direct):
1 La 0.1801 0.1801 0.0000  4 N 2.49-2.70
2 La 0.8199 0.8199 0.0000  4 N 2.49-2.70
3 Nd 0.5000 0.5000 0.0000  4 N 2.62
4 N 0.3316 0.8316 0.5000  4 La 2.49-2.70, 2 Nd 2.62
5 N 0.6684 0.1684 0.5000  4 La 2.49-2.70, 2 Nd 2.62

***

Repeat the third record exactly.
Computed, not measured: a relaxed RbPaNiN3 crystal at the PBE level of DFT.

The calculation puts the raw formation energy at -62.3 kJ per mole of atoms. The total magnetization comes out at 0.00 μB per formula unit.

a b c (Å): 8.0426 3.6008 8.2807
angles (deg): 90.00 106.91 90.00
Last column: nearest neighbours and their distance in Å.
Positions (direct):
1 Rb 0.1919 0.2500 0.2199  5 N 3.04-3.29, 2 Ni 3.37
2 Rb 0.8081 0.7500 0.7801  5 N 3.04-3.29, 2 Ni 3.37
3 Pa 0.3389 0.7500 0.8443  6 N 2.28-2.35
4 Pa 0.6611 0.2500 0.1557  6 N 2.28-2.35
5 Ni 0.0700 0.2500 0.6101  4 N 1.87-1.91
6 Ni 0.9300 0.7500 0.3899  4 N 1.87-1.91
7 N 0.1313 0.7500 0.5778  3 Ni 1.89-1.91
8 N 0.1636 0.2500 0.8454  1 Ni 1.87
9 N 0.4772 0.7500 0.1262  3 Pa 2.28-2.30
10 N 0.5228 0.2500 0.8738  3 Pa 2.28-2.30
11 N 0.8364 0.7500 0.1546  1 Ni 1.87
12 N 0.8687 0.2500 0.4222  3 Ni 1.89-1.91

***

Q: Among the records above, which one has the highest total magnetization?
A: RbCrGaTe3

***

Q: Among the records above, which one has the highest total magnetization?
A: RbCrGaTe3

***

Q: Among the records above, which one has the highest total magnetization?
A: RbCrGaTe3